Material: PHPdS2
Method: DFT, PBE-GGA
State: relaxed

## Properties
Its space group is P4/mmm, No. 123. The raw total energy is -3.26 eV/atom.

Cell and atoms, written as extended XYZ:
```
5
Lattice="4.848 0.000 0.000 0.000 4.848 0.000 0.000 0.000 4.562" Properties=species:S:1:pos:R:3 pbc="T T T"
P 0.000 0.000 0.000
H 2.424 2.424 0.000
Pd 0.000 0.000 2.281
S 0.000 2.424 2.281
S 2.424 0.000 2.281
```

Material: P2HPdS
Method: DFT, PBE-GGA
State: relaxed

## Properties
Its space group is P4/mmm, No. 123. The raw total energy is -3.45 eV/atom.

Cell and atoms, written as extended XYZ:
```
5
Lattice="4.611 0.000 0.000 0.000 4.611 0.000 0.000 0.000 4.979" Properties=species:S:1:pos:R:3 pbc="T T T"
P 0.000 2.306 0.000
P 2.306 0.000 0.000
H 0.000 0.000 2.489
Pd 2.306 2.306 0.000
S 2.306 2.306 2.489
```

Material: PHPdS2
Method: DFT, PBE-GGA
State: relaxed

## Properties
Its space group is P4/mmm, No. 123. The raw total energy is -3.77 eV/atom.

Cell and atoms, written as extended XYZ:
```
5
Lattice="4.657 0.000 0.000 0.000 4.657 0.000 0.000 0.000 3.074" Properties=species:S:1:pos:R:3 pbc="T T T"
P 0.000 0.000 0.000
H 0.000 0.000 1.537
Pd 2.329 2.329 0.000
S 0.000 2.329 1.537
S 2.329 0.000 1.537
```

Material: PHPdS2
Method: DFT, PBE-GGA
State: relaxed

## Properties
Its space group is P4/mmm, No. 123. The raw total energy is -3.59 eV/atom.

Cell and atoms, written as extended XYZ:
```
5
Lattice="4.560 0.000 0.000 0.000 4.560 0.000 0.000 0.000 4.578" Properties=species:S:1:pos:R:3 pbc="T T T"
P 0.000 0.000 0.000
H 2.280 2.280 2.289
Pd 0.000 0.000 2.289
S 0.000 2.280 0.000
S 2.280 0.000 0.000
```